No. 1
{
  "formula": "LiNd2Cd3",
  "functional": "PBE-GGA",
  "state": "relaxed",
  "delta_e_f_kj_per_mol_atoms": -27.1,
  "space_group": "Fmmm (69)",
  "de_polymorph_mev_per_atom": 0,
  "lattice_angstrom": [[-0.862, 5.323, 2.870], [-2.422, -0.183, -5.605], [-5.947, -5.620, 4.746]],
  "species": ["Nd", "Nd", "Nd", "Nd", "Cd", "Cd", "Cd", "Cd", "Cd", "Cd", "Li", "Li"],
  "frac_coords": [[0.750, 0.250, 0.500], [0.753, 0.753, 0.000], [0.250, 0.750, 0.500], [0.247, 0.247, 0.000], [0.660, 0.170, 0.831], [0.830, 0.830, 0.661], [0.170, 0.170, 0.339], [0.340, 0.830, 0.169], [0.830, 0.340, 0.169], [0.170, 0.660, 0.831], [0.667, 0.667, 0.333], [0.333, 0.333, 0.667]]
}



No. 2
{
  "formula": "Li6NdCd2",
  "functional": "PBE-GGA",
  "state": "relaxed",
  "delta_e_f_kj_per_mol_atoms": -10.1,
  "space_group": "P4/mmm (123)",
  "lattice_angstrom": [[4.216, 0.000, 0.000], [0.000, 4.216, 0.000], [0.000, 0.000, 11.171]],
  "species": ["Li", "Li", "Li", "Li", "Li", "Li", "Nd", "Cd", "Cd"],
  "frac_coords": [[0.500, 0.000, 0.300], [0.000, 0.500, 0.700], [0.000, 0.500, 0.300], [0.500, 0.000, 0.700], [0.500, 0.500, 0.500], [0.000, 0.000, 0.500], [0.000, 0.000, 0.000], [0.500, 0.500, 0.864], [0.500, 0.500, 0.136]]
}



No. 3
{
  "formula": "Li2NdCd6",
  "functional": "PBE-GGA",
  "state": "relaxed",
  "delta_e_f_kj_per_mol_atoms": -19.2,
  "space_group": "P6/mmm (191)",
  "de_polymorph_mev_per_atom": 0,
  "lattice_angstrom": [[3.148, 0.000, 0.000], [0.000, 7.581, -4.377], [0.000, 0.000, 8.753]],
  "species": ["Li", "Li", "Cd", "Cd", "Cd", "Cd", "Cd", "Cd", "Nd"],
  "frac_coords": [[0.000, 0.333, 0.667], [0.000, 0.667, 0.333], [0.500, 0.660, 0.660], [0.500, 0.000, 0.340], [0.500, 0.000, 0.660], [0.500, 0.660, 0.000], [0.500, 0.340, 0.000], [0.500, 0.340, 0.340], [0.000, 0.000, 0.000]]
}



No. 4
{
  "formula": "Li3NdCd",
  "functional": "PBE-GGA",
  "state": "relaxed",
  "delta_e_f_kj_per_mol_atoms": 5.5,
  "space_group": "P6_3/mmc (194)",
  "lattice_angstrom": [[5.856, 0.000, 0.000], [0.000, 6.765, -0.001], [0.000, -3.383, 5.858]],
  "species": ["Li", "Li", "Li", "Li", "Li", "Li", "Nd", "Nd", "Cd", "Cd"],
  "frac_coords": [[0.250, 0.805, 0.610], [0.250, 0.805, 0.195], [0.750, 0.195, 0.390], [0.250, 0.390, 0.195], [0.750, 0.610, 0.805], [0.750, 0.195, 0.805], [0.750, 0.667, 0.334], [0.250, 0.333, 0.667], [0.000, 0.000, 0.000], [0.500, 0.000, 0.000]]
}



No. 5
{
  "formula": "LiNd12Cd6",
  "functional": "PBE-GGA",
  "state": "relaxed",
  "delta_e_f_kj_per_mol_atoms": -9.9,
  "space_group": "R-3 (148)",
  "lattice_angstrom": [[8.178, 0.730, 0.875], [-0.518, 8.194, 0.875], [-0.518, -0.604, 8.219]],
  "species": ["Nd", "Nd", "Nd", "Nd", "Nd", "Nd", "Nd", "Nd", "Nd", "Nd", "Nd", "Nd", "Cd", "Cd", "Cd", "Cd", "Cd", "Cd", "Li"],
  "frac_coords": [[0.530, 0.442, 0.807], [0.193, 0.470, 0.558], [0.558, 0.193, 0.470], [0.470, 0.558, 0.193], [0.971, 0.847, 0.620], [0.807, 0.530, 0.442], [0.380, 0.029, 0.153], [0.029, 0.153, 0.380], [0.847, 0.620, 0.971], [0.620, 0.971, 0.847], [0.442, 0.807, 0.530], [0.153, 0.380, 0.029], [0.747, 0.894, 0.255], [0.745, 0.253, 0.106], [0.106, 0.745, 0.253], [0.255, 0.747, 0.894], [0.253, 0.106, 0.745], [0.894, 0.255, 0.747], [0.000, 0.000, 0.000]]
}



No. 6
{
  "formula": "LiNd3Cd2",
  "functional": "PBE-GGA",
  "state": "relaxed",
  "delta_e_f_kj_per_mol_atoms": -17.7,
  "space_group": "P4/mmm (123)",
  "de_polymorph_mev_per_atom": 9,
  "lattice_angstrom": [[-0.717, 1.642, 3.434], [-3.454, -1.749, 0.115], [4.707, -8.947, 5.261]],
  "species": ["Cd", "Cd", "Nd", "Nd", "Nd", "Li"],
  "frac_coords": [[0.500, 0.500, 0.831], [0.500, 0.500, 0.169], [0.000, 0.000, 0.000], [0.000, 0.000, 0.331], [0.000, 0.000, 0.669], [0.500, 0.500, 0.500]]
}



No. 7
{
  "formula": "LiNd4Cd",
  "functional": "PBE-GGA",
  "state": "relaxed",
  "delta_e_f_kj_per_mol_atoms": -5.6,
  "space_group": "P4/mmm (123)",
  "lattice_angstrom": [[-3.570, 3.424, 1.970], [-3.141, -4.073, 1.388], [5.845, -0.562, 11.578]],
  "species": ["Nd", "Nd", "Nd", "Nd", "Nd", "Nd", "Nd", "Nd", "Li", "Li", "Cd", "Cd"],
  "frac_coords": [[0.000, 0.500, 0.156], [0.000, 0.500, 0.844], [0.000, 0.000, 0.349], [0.500, 0.500, 0.651], [0.000, 0.000, 0.651], [0.500, 0.500, 0.349], [0.500, 0.000, 0.156], [0.500, 0.000, 0.844], [0.500, 0.000, 0.500], [0.000, 0.500, 0.500], [0.000, 0.000, 0.000], [0.500, 0.500, 0.000]]
}



No. 8
{
  "formula": "LiNdCd11",
  "functional": "PBE-GGA",
  "state": "relaxed",
  "delta_e_f_kj_per_mol_atoms": -15.8,
  "space_group": "C2/m (12)",
  "lattice_angstrom": [[-1.601, -0.433, 5.638], [6.000, -0.617, 4.645], [-0.553, 6.761, 3.425]],
  "species": ["Cd", "Cd", "Cd", "Cd", "Cd", "Cd", "Cd", "Cd", "Cd", "Cd", "Cd", "Nd", "Li"],
  "frac_coords": [[0.986, 0.355, 0.656], [0.000, 0.500, 0.000], [0.359, 0.645, 0.656], [0.014, 0.645, 0.344], [0.298, 0.219, 0.210], [0.702, 0.781, 0.790], [0.492, 0.781, 0.210], [0.500, 0.000, 0.500], [0.641, 0.355, 0.344], [0.508, 0.219, 0.790], [0.000, 0.000, 0.500], [0.000, 0.000, 0.000], [0.500, 0.500, 0.000]]
}



No. 9
{
  "formula": "LiNdCd4",
  "functional": "PBE-GGA",
  "state": "relaxed",
  "delta_e_f_kj_per_mol_atoms": -18.2,
  "space_group": "F-43m (216)",
  "de_polymorph_mev_per_atom": 45,
  "lattice_angstrom": [[5.901, 0.000, 0.000], [2.951, 5.111, 0.000], [2.951, 1.704, 4.818]],
  "species": ["Li", "Cd", "Cd", "Cd", "Cd", "Nd"],
  "frac_coords": [[0.250, 0.250, 0.250], [0.625, 0.625, 0.625], [0.625, 0.625, 0.125], [0.125, 0.625, 0.625], [0.625, 0.125, 0.625], [0.000, 0.000, 0.000]]
}



No. 10
{
  "formula": "LiNd2Cd2",
  "functional": "PBE-GGA",
  "state": "relaxed",
  "delta_e_f_kj_per_mol_atoms": -12.3,
  "space_group": "Ibam (72)",
  "de_polymorph_mev_per_atom": 0,
  "lattice_angstrom": [[-4.999, 0.583, 2.463], [-1.666, -5.763, -2.016], [6.015, -0.332, 5.913]],
  "species": ["Li", "Li", "Cd", "Cd", "Cd", "Cd", "Nd", "Nd", "Nd", "Nd"],
  "frac_coords": [[0.250, 0.500, 0.000], [0.750, 0.500, 0.000], [0.579, 0.238, 0.158], [0.921, 0.080, 0.842], [0.079, 0.920, 0.158], [0.421, 0.762, 0.842], [0.321, 0.135, 0.641], [0.821, 0.506, 0.641], [0.679, 0.865, 0.359], [0.179, 0.494, 0.359]]
}



No. 11
{
  "formula": "LiNd2Cd",
  "functional": "PBE-GGA",
  "state": "relaxed",
  "delta_e_f_kj_per_mol_atoms": -12.0,
  "space_group": "P4/mmm (123)",
  "de_polymorph_mev_per_atom": 0,
  "lattice_angstrom": [[-1.961, -3.369, -0.574], [4.565, -2.417, -1.413], [0.856, -1.368, 5.106]],
  "species": ["Nd", "Nd", "Cd", "Li"],
  "frac_coords": [[0.000, 0.500, 0.000], [0.000, 0.000, 0.500], [0.500, 0.000, 0.000], [0.500, 0.500, 0.500]]
}



No. 12
{
  "formula": "Li9NdCd2",
  "functional": "PBE-GGA",
  "state": "relaxed",
  "delta_e_f_kj_per_mol_atoms": -1.4,
  "space_group": "R-3m (166)",
  "lattice_angstrom": [[5.661, 0.000, 0.000], [2.831, 4.903, 0.000], [2.831, 1.634, 8.653]],
  "species": ["Cd", "Cd", "Li", "Li", "Li", "Li", "Li", "Li", "Li", "Li", "Li", "Nd"],
  "frac_coords": [[0.135, 0.135, 0.595], [0.865, 0.865, 0.405], [0.926, 0.401, 0.271], [0.074, 0.599, 0.729], [0.401, 0.401, 0.271], [0.599, 0.074, 0.729], [0.401, 0.926, 0.271], [0.500, 0.500, 0.500], [0.338, 0.338, 0.987], [0.599, 0.599, 0.729], [0.662, 0.662, 0.013], [0.000, 0.000, 0.000]]
}